Ni2AgAu | PBE | optimized geometry

```
data_Ni2AgAu
_cell_length_a 2.788
_cell_length_b 2.788
_cell_length_c 7.445
_cell_angle_alpha 90.00
_cell_angle_beta 90.00
_cell_angle_gamma 90.00
_symmetry_space_group_name_H-M 'P 4 m m'
_symmetry_Int_Tables_number 99
loop_
_symmetry_equiv_pos_as_xyz
'x,y,z'
'-y,x,z'
'-x,-y,z'
'y,-x,z'
'-x,y,z'
'y,x,z'
'x,-y,z'
'-y,-x,z'
loop_
_atom_site_label
_atom_site_fract_x
_atom_site_fract_y
_atom_site_fract_z
Ni1 0.000 0.000 0.000
Ni2 0.500 0.500 0.188
Ag1 0.000 0.000 0.444
Au1 0.500 0.500 0.747
```

Summary:
Formation enthalpy at 0 K ... 0.121 eV/atom
DFT total energy ... -0.316 Ry/atom

---

Tm2CuAs | PBE | optimized geometry

```
data_Tm2CuAs
_cell_length_a 4.0102
_cell_length_b 4.0102
_cell_length_c 20.0278
_cell_angle_alpha 90.00
_cell_angle_beta 90.00
_cell_angle_gamma 120.00
_symmetry_space_group_name_H-M 'R -3 m'
_symmetry_Int_Tables_number 166
_symmetry_space_group_name_Hall '-R 3 2"'
loop_
_atom_site_label
_atom_site_fract_x
_atom_site_fract_y
_atom_site_fract_z
Tm1 0.0000 0.0000 0.2489
Cu1 0.0000 0.0000 0.0000
As1 0.0000 0.0000 0.5000
```

Summary:
Formation enthalpy at 0 K ... -0.696 eV/atom
DFT total energy ... -0.376 Ry/atom

---

FeReTc | PBE | optimized geometry

```
data_FeReTc
_cell_length_a 5.671
_cell_length_b 5.671
_cell_length_c 5.671
_cell_angle_alpha 90.00
_cell_angle_beta 90.00
_cell_angle_gamma 90.00
_symmetry_space_group_name_H-M 'F -4 3 m'
_symmetry_Int_Tables_number 216
_symmetry_space_group_name_Hall 'F -4 2 3'
loop_
_atom_site_label
_atom_site_fract_x
_atom_site_fract_y
_atom_site_fract_z
Fe1 0.000 0.000 0.000
Re1 0.250 0.250 0.250
Tc1 0.250 0.250 0.750
```

Summary:
Formation enthalpy at 0 K ... 0.645 eV/atom
DFT total energy ... -0.719 Ry/atom
Distance to the lowest polymorph of the same formula ... 623 meV per atom

---

Ce2TmPt9 | PBE | optimized geometry

```
data_Ce2TmPt9
_cell_length_a 4.145
_cell_length_b 4.145
_cell_length_c 12.413
_cell_angle_alpha 90.00
_cell_angle_beta 90.00
_cell_angle_gamma 90.00
_symmetry_space_group_name_H-M 'P 4/m m m'
_symmetry_Int_Tables_number 123
_symmetry_space_group_name_Hall '-P 4 2'
loop_
_atom_site_label
_atom_site_fract_x
_atom_site_fract_y
_atom_site_fract_z
Ce1 0.000 0.000 0.169
Tm1 0.000 0.000 0.500
Pt1 0.000 0.500 0.000
Pt2 0.000 0.500 0.335
Pt3 0.500 0.500 0.168
Pt4 0.500 0.500 0.500
```

Summary:
Formation enthalpy at 0 K ... -1.033 eV/atom
DFT total energy ... -0.509 Ry/atom
Distance to the lowest polymorph of the same formula ... 0 meV per atom